1.
Entry from Alexandria via LeMat-Bulk: crystalline LiCo2Ru at its relaxed geometry (GGA-PBE).

Values from the calculation:
* symmetry: No. 99
* DFT total energy: -6.1250 eV/atom
* magnetic moment: 2.96 μB per cell
* offset from the most stable computed form: 50 meV per atom
* D(E_F): 5.28 states/eV/cell

Cell: 2.5507 2.5507 7.6487 Å, 90.00 90.00 90.00°
Fractional coordinates of all 4 atoms:
1 Li 0.0000 0.0000 0.0000
2 Co 0.0000 0.0000 0.5217
3 Co 0.5000 0.5000 0.7358
4 Ru 0.5000 0.5000 0.2772



2.
Entry from Alexandria via LeMat-Bulk: crystalline LiCoRu2 at its relaxed geometry (GGA-PBE).

Values from the calculation:
* symmetry: No. 65
* DFT total energy: -6.5924 eV/atom
* magnetic moment: 2.54 μB per cell
* offset from the most stable computed form: 89 meV per atom
* D(E_F): 5.26 states/eV/cell

Cell: 2.6013 2.6013 8.9159 Å, 90.00 90.00 117.30°
Fractional coordinates of all 4 atoms:
1 Li 0.0000 0.0000 0.0000
2 Co 0.0000 0.0000 0.5000
3 Ru 0.5000 0.5000 0.2587
4 Ru 0.5000 0.5000 0.7413



3.
Entry from Alexandria via LeMat-Bulk: crystalline LiCoRu at its relaxed geometry (GGA-PBE).

Values from the calculation:
* symmetry: No. 107
* DFT total energy: -5.8476 eV/atom
* magnetic moment: 0.96 μB per cell
* offset from the most stable computed form: 113 meV per atom
* D(E_F): 2.74 states/eV/cell

Cell: 5.6727 5.6727 5.6727 Å, 152.83 152.83 38.81°
Fractional coordinates of all 3 atoms:
1 Li 0.0000 0.0000 0.0000
2 Co 0.3327 0.3327 0.0000
3 Ru 0.6853 0.6853 0.0000